The following is a DFT calculation (PBE-GGA) of a relaxed structure of ZnP3.

- formation energy from the elements (eV per atom) = 0.43
- energy (eV per atom) = -3.94
- offset from the most stable computed form (eV/atom) = 0.5580
- crystal system = tetragonal

Cell and atoms, written as POSCAR:
```
ZnP3
1.0
-1.7760 1.7760 10.1612
1.7760 -1.7760 10.1612
1.7760 1.7760 -10.1612
P Zn
6 2
direct
0.5000 0.0000 0.5000
0.2500 0.7500 0.5000
0.0000 0.5000 0.5000
0.9131 0.9131 0.0000
0.7500 0.2500 0.5000
0.0869 0.0869 0.0000
0.6459 0.6459 0.0000
0.3541 0.3541 0.0000
```

---

The following is a DFT calculation (PBE-GGA) of a relaxed structure of ZnP2.

- formation energy from the elements (eV per atom) = -0.24
- energy (eV per atom) = -4.28
- crystal system = tetragonal

Cell and atoms, written as POSCAR:
```
ZnP2
1.0
5.0985 0.0000 0.0000
0.0000 5.0985 0.0000
0.0000 0.0000 18.6124
Zn P
8 16
direct
0.8459 0.6360 0.8007
0.1541 0.3640 0.3007
0.1360 0.6541 0.0507
0.6360 0.8459 0.1993
0.8640 0.3459 0.5507
0.3640 0.1541 0.6993
0.6541 0.1360 0.9493
0.3459 0.8640 0.4493
0.1815 0.3019 0.8095
0.9812 0.0094 0.1241
0.5188 0.5094 0.6259
0.4812 0.4906 0.1259
0.8019 0.3185 0.0595
0.4906 0.4812 0.8741
0.1981 0.6815 0.5595
0.0188 0.9906 0.6241
0.0094 0.9812 0.8759
0.6981 0.8185 0.6905
0.6815 0.1981 0.4405
0.9906 0.0188 0.3759
0.3185 0.8019 0.9405
0.3019 0.1815 0.1905
0.5094 0.5188 0.3741
0.8185 0.6981 0.3095
```

---

The following is a DFT calculation (PBE-GGA) of a relaxed structure of ZnP2.

- formation energy from the elements (eV per atom) = 0.19
- energy (eV per atom) = -3.84
- crystal system = orthorhombic

Cell and atoms, written as POSCAR:
```
ZnP2
1.0
2.3885 -5.1073 0.0000
2.3885 5.1073 0.0000
0.0000 0.0000 4.6189
Zn P
2 4
direct
0.1983 0.1983 0.7500
0.8017 0.8017 0.2500
0.4774 0.0228 0.7500
0.0228 0.4774 0.7500
0.9772 0.5226 0.2500
0.5226 0.9772 0.2500
```

---

The following is a DFT calculation (PBE-GGA) of a relaxed structure of Zn2P.

- formation energy from the elements (eV per atom) = 0.20
- energy (eV per atom) = -2.45
- crystal system = hexagonal

Cell and atoms, written as POSCAR:
```
Zn2P
1.0
2.3276 -4.0316 0.0000
2.3276 4.0316 0.0000
0.0000 0.0000 5.0646
Zn P
4 2
direct
0.0000 0.0000 0.5000
0.6667 0.3333 0.2500
0.3333 0.6667 0.7500
0.0000 0.0000 0.0000
0.3333 0.6667 0.2500
0.6667 0.3333 0.7500
```

---

The following is a DFT calculation (PBE-GGA) of a relaxed structure of ZnP2.

- formation energy from the elements (eV per atom) = 0.14
- energy (eV per atom) = -3.89
- crystal system = monoclinic

Cell and atoms, written as POSCAR:
```
ZnP2
1.0
2.5217 -0.7738 -4.4056
4.0708 -2.3774 -2.0356
-2.9576 -5.6213 -1.8704
P Zn
4 2
direct
0.8915 0.8915 0.2928
0.3862 0.3862 0.0584
0.1085 0.1085 0.7072
0.6138 0.6138 0.9416
0.3762 0.3762 0.6434
0.6238 0.6238 0.3566
```

---

The following is a DFT calculation (PBE-GGA) of a relaxed structure of ZnP2.

- formation energy from the elements (eV per atom) = -0.01
- energy (eV per atom) = -4.04
- crystal system = monoclinic

Cell and atoms, written as POSCAR:
```
ZnP2
1.0
-0.9952 1.4094 2.8127
2.0214 -3.4064 0.4865
3.8175 2.0913 0.3028
Zn P
1 2
direct
0.0000 0.0000 0.0000
0.7307 0.4614 0.3320
0.2693 0.5386 0.6680
```

---

The following is a DFT calculation (PBE-GGA) of a relaxed structure of ZnP3.

- formation energy from the elements (eV per atom) = 0.57
- energy (eV per atom) = -3.81
- offset from the most stable computed form (eV/atom) = 0.6937
- crystal system = tetragonal

Cell and atoms, written as POSCAR:
```
ZnP3
1.0
4.8310 0.0000 0.0000
0.0000 4.8310 0.0000
0.0000 0.0000 2.5736
P Zn
3 1
direct
0.5000 0.5000 0.0000
0.0000 0.5000 0.5000
0.5000 0.0000 0.5000
0.0000 0.0000 0.0000
```

---

The following is a DFT calculation (PBE-GGA) of a relaxed structure of ZnP2.

- formation energy from the elements (eV per atom) = 0.36
- energy (eV per atom) = -3.67
- crystal system = monoclinic

Cell and atoms, written as POSCAR:
```
ZnP2
1.0
1.3922 5.6664 0.2533
-1.3922 5.6664 0.2533
0.0000 2.9867 7.3568
P Zn
4 2
direct
0.5789 0.5789 0.1589
0.6092 0.6092 0.7127
0.3897 0.3897 0.4080
0.0103 0.0103 0.9766
0.9410 0.9410 0.6309
0.3043 0.3043 0.9464
```